# 1
Density functional theory data (GGA-PBE) for a relaxed CaZn3Au3 crystal.

Summary:
energy relative to the lowest polymorph listed for this composition: 2.0 meV/atom
energy: -2.59 eV/atom

Cell and atoms, written as CIF:
```
data_CaZn3Au3
_space_group_name_H-M_alt 'P 1'
_space_group_IT_number 1
_cell_length_a 7.4603
_cell_length_b 7.4603
_cell_length_c 7.4603
_cell_angle_alpha 56.54
_cell_angle_beta 56.54
_cell_angle_gamma 56.54
loop_
_space_group_symop_operation_xyz
'x,y,z'
loop_
_atom_site_label
_atom_site_fract_x
_atom_site_fract_y
_atom_site_fract_z
Ca1 0.1613 0.1613 0.1613
Ca2 0.8387 0.8387 0.8387
Zn1 0.0480 0.6001 0.2269
Zn2 0.2269 0.0480 0.6001
Zn3 0.3999 0.7731 0.9520
Zn4 0.6001 0.2269 0.0480
Zn5 0.7731 0.9520 0.3999
Zn6 0.9520 0.3999 0.7731
Au1 0.1934 0.6722 0.4273
Au2 0.3278 0.5727 0.8066
Au3 0.4273 0.1934 0.6722
Au4 0.5727 0.8066 0.3278
Au5 0.6722 0.4273 0.1934
Au6 0.8066 0.3278 0.5727
```

***

# 2
Density functional theory data (GGA-PBE) for a relaxed Li3TiPd crystal.

Summary:
energy relative to the lowest polymorph listed for this composition: 0.0 meV/atom
energy: -3.29 eV/atom

Cell and atoms, written as CIF:
```
data_Li3TiPd
_space_group_name_H-M_alt 'P 1'
_space_group_IT_number 1
_cell_length_a 4.5017
_cell_length_b 4.5017
_cell_length_c 4.5017
_cell_angle_alpha 90.00
_cell_angle_beta 90.00
_cell_angle_gamma 90.00
loop_
_space_group_symop_operation_xyz
'x,y,z'
loop_
_atom_site_label
_atom_site_fract_x
_atom_site_fract_y
_atom_site_fract_z
Li1 0.0000 0.0000 0.5000
Li2 0.0000 0.5000 0.0000
Li3 0.5000 0.0000 0.0000
Ti1 0.5000 0.5000 0.5000
Pd1 0.0000 0.0000 0.0000
```

***

# 3
Density functional theory data (GGA-PBE) for a relaxed Pr4SmHo2Tm2 crystal.

Summary:
energy: -4.64 eV/atom

Cell and atoms, written as CIF:
```
data_Pr4SmHo2Tm2
_space_group_name_H-M_alt 'P 1'
_space_group_IT_number 1
_cell_length_a 8.0857
_cell_length_b 8.0857
_cell_length_c 8.0688
_cell_angle_alpha 107.26
_cell_angle_beta 107.26
_cell_angle_gamma 36.75
loop_
_space_group_symop_operation_xyz
'x,y,z'
loop_
_atom_site_label
_atom_site_fract_x
_atom_site_fract_y
_atom_site_fract_z
Pr1 0.0534 0.0534 0.3303
Pr2 0.2767 0.2767 0.6692
Pr3 0.7233 0.7233 0.3308
Pr4 0.9466 0.9466 0.6697
Sm1 0.5000 0.5000 0.0000
Ho1 0.3884 0.3884 0.3304
Ho2 0.6116 0.6116 0.6696
Tm1 0.1684 0.1684 0.9993
Tm2 0.8316 0.8316 0.0007
```

***

# 4
Density functional theory data (GGA-PBE) for a relaxed NpTlAgAu crystal.

Summary:
energy: -5.24 eV/atom

Cell and atoms, written as CIF:
```
data_NpTlAgAu
_space_group_name_H-M_alt 'P 1'
_space_group_IT_number 1
_cell_length_a 7.1490
_cell_length_b 7.1490
_cell_length_c 7.1490
_cell_angle_alpha 90.00
_cell_angle_beta 90.00
_cell_angle_gamma 90.00
loop_
_space_group_symop_operation_xyz
'x,y,z'
loop_
_atom_site_label
_atom_site_fract_x
_atom_site_fract_y
_atom_site_fract_z
Np1 0.0000 0.0000 0.0000
Np2 0.0000 0.5000 0.5000
Np3 0.5000 0.0000 0.5000
Np4 0.5000 0.5000 0.0000
Tl1 0.0000 0.0000 0.5000
Tl2 0.0000 0.5000 0.0000
Tl3 0.5000 0.0000 0.0000
Tl4 0.5000 0.5000 0.5000
Ag1 0.2500 0.2500 0.2500
Ag2 0.2500 0.7500 0.7500
Ag3 0.7500 0.2500 0.7500
Ag4 0.7500 0.7500 0.2500
Au1 0.2500 0.2500 0.7500
Au2 0.2500 0.7500 0.2500
Au3 0.7500 0.2500 0.2500
Au4 0.7500 0.7500 0.7500
```

***

# 5
Density functional theory data (GGA-PBE) for a relaxed Tm2TiS4 crystal.

Summary:
formation energy (no corrections): -1.759 eV/atom
energy: -6.52 eV/atom

Cell and atoms, written as CIF:
```
data_Tm2TiS4
_space_group_name_H-M_alt 'P 1'
_space_group_IT_number 1
_cell_length_a 13.4204
_cell_length_b 3.7748
_cell_length_c 6.7891
_cell_angle_alpha 90.00
_cell_angle_beta 119.25
_cell_angle_gamma 90.00
loop_
_space_group_symop_operation_xyz
'x,y,z'
loop_
_atom_site_label
_atom_site_fract_x
_atom_site_fract_y
_atom_site_fract_z
Tm1 0.2285 0.0000 0.2190
Tm2 0.2715 0.5000 0.7810
Tm3 0.7285 0.5000 0.2190
Tm4 0.7715 0.0000 0.7810
Ti1 0.0000 0.5000 0.5000
Ti2 0.5000 0.0000 0.5000
S1 0.1135 0.5000 0.9194
S2 0.1276 0.0000 0.4866
S3 0.3724 0.5000 0.5134
S4 0.3865 0.0000 0.0806
S5 0.6135 0.0000 0.9194
S6 0.6276 0.5000 0.4866
S7 0.8724 0.0000 0.5134
S8 0.8865 0.5000 0.0806
```

***

# 6
Density functional theory data (GGA-PBE) for a relaxed TlNi2RhC crystal.

Summary:
energy: -5.93 eV/atom

Cell and atoms, written as CIF:
```
data_TlNi2RhC
_space_group_name_H-M_alt 'P 1'
_space_group_IT_number 1
_cell_length_a 3.9526
_cell_length_b 3.9526
_cell_length_c 4.1087
_cell_angle_alpha 90.00
_cell_angle_beta 90.00
_cell_angle_gamma 90.00
loop_
_space_group_symop_operation_xyz
'x,y,z'
loop_
_atom_site_label
_atom_site_fract_x
_atom_site_fract_y
_atom_site_fract_z
Tl1 0.0000 0.0000 0.0000
Ni1 0.0000 0.5000 0.5000
Ni2 0.5000 0.0000 0.5000
Rh1 0.5000 0.5000 0.0000
C1 0.5000 0.5000 0.5000
```

***

# 7
Density functional theory data (GGA-PBE) for a relaxed ZnOs5 crystal.

Summary:
energy relative to the lowest polymorph listed for this composition: 35.2 meV/atom
energy: -9.39 eV/atom

Cell and atoms, written as CIF:
```
data_ZnOs5
_space_group_name_H-M_alt 'P 1'
_space_group_IT_number 1
_cell_length_a 4.3703
_cell_length_b 2.7709
_cell_length_c 14.1664
_cell_angle_alpha 90.00
_cell_angle_beta 90.00
_cell_angle_gamma 90.00
loop_
_space_group_symop_operation_xyz
'x,y,z'
loop_
_atom_site_label
_atom_site_fract_x
_atom_site_fract_y
_atom_site_fract_z
Zn1 0.0000 0.0000 0.0000
Zn2 0.0000 0.5000 0.5000
Os1 0.0000 0.0000 0.3322
Os2 0.0000 0.0000 0.6707
Os3 0.0000 0.5000 0.1707
Os4 0.0000 0.5000 0.8322
Os5 0.5000 0.0000 0.1108
Os6 0.5000 0.0000 0.4459
Os7 0.5000 0.0000 0.7802
Os8 0.5000 0.5000 0.2802
Os9 0.5000 0.5000 0.6108
Os10 0.5000 0.5000 0.9459
```

***

# 8
Density functional theory data (GGA-PBE) for a relaxed Ta2FeW crystal.

Summary:
energy: -11.25 eV/atom

Cell and atoms, written as CIF:
```
data_Ta2FeW
_space_group_name_H-M_alt 'P 1'
_space_group_IT_number 1
_cell_length_a 3.1921
_cell_length_b 3.1921
_cell_length_c 6.2641
_cell_angle_alpha 90.00
_cell_angle_beta 90.00
_cell_angle_gamma 90.00
loop_
_space_group_symop_operation_xyz
'x,y,z'
loop_
_atom_site_label
_atom_site_fract_x
_atom_site_fract_y
_atom_site_fract_z
Ta1 0.0000 0.0000 0.0000
Ta2 0.5000 0.5000 0.2747
Fe1 0.5000 0.5000 0.7616
W1 0.0000 0.0000 0.5300
```

***

# 9
Density functional theory data (GGA-PBE) for a relaxed Pm2Zn5Pt3 crystal.

Summary:
energy relative to the lowest polymorph listed for this composition: 110.5 meV/atom
energy: -3.98 eV/atom

Cell and atoms, written as CIF:
```
data_Pm2Zn5Pt3
_space_group_name_H-M_alt 'P 1'
_space_group_IT_number 1
_cell_length_a 3.9876
_cell_length_b 3.9876
_cell_length_c 12.0409
_cell_angle_alpha 90.00
_cell_angle_beta 90.00
_cell_angle_gamma 90.00
loop_
_space_group_symop_operation_xyz
'x,y,z'
loop_
_atom_site_label
_atom_site_fract_x
_atom_site_fract_y
_atom_site_fract_z
Pm1 0.0000 0.5000 0.2402
Pm2 0.5000 0.0000 0.7598
Zn1 0.0000 0.0000 0.5000
Zn2 0.0000 0.5000 0.6367
Zn3 0.5000 0.0000 0.3633
Zn4 0.5000 0.5000 0.0000
Zn5 0.5000 0.5000 0.5000
Pt1 0.0000 0.0000 0.0000
Pt2 0.0000 0.5000 0.8458
Pt3 0.5000 0.0000 0.1542
```

***

# 10
Density functional theory data (GGA-PBE) for a relaxed Li3AcCd4 crystal.

Summary:
energy: -1.92 eV/atom

Cell and atoms, written as CIF:
```
data_Li3AcCd4
_space_group_name_H-M_alt 'P 1'
_space_group_IT_number 1
_cell_length_a 9.8987
_cell_length_b 9.8987
_cell_length_c 9.8987
_cell_angle_alpha 27.83
_cell_angle_beta 27.83
_cell_angle_gamma 27.83
loop_
_space_group_symop_operation_xyz
'x,y,z'
loop_
_atom_site_label
_atom_site_fract_x
_atom_site_fract_y
_atom_site_fract_z
Li1 0.0000 0.0000 0.0000
Li2 0.2667 0.2667 0.2667
Li3 0.7333 0.7333 0.7333
Ac1 0.5000 0.5000 0.5000
Cd1 0.0953 0.0953 0.0953
Cd2 0.3698 0.3698 0.3698
Cd3 0.6302 0.6302 0.6302
Cd4 0.9047 0.9047 0.9047
```

***

# 11
Density functional theory data (GGA-PBE) for a relaxed MgCrW2 crystal.

Summary:
energy relative to the lowest polymorph listed for this composition: 237.7 meV/atom
energy: -8.75 eV/atom

Cell and atoms, written as CIF:
```
data_MgCrW2
_space_group_name_H-M_alt 'P 1'
_space_group_IT_number 1
_cell_length_a 9.1399
_cell_length_b 2.6335
_cell_length_c 5.1816
_cell_angle_alpha 90.00
_cell_angle_beta 92.54
_cell_angle_gamma 90.00
loop_
_space_group_symop_operation_xyz
'x,y,z'
loop_
_atom_site_label
_atom_site_fract_x
_atom_site_fract_y
_atom_site_fract_z
Mg1 0.0000 0.0000 0.0000
Mg2 0.5000 0.5000 0.0000
Cr1 0.2521 0.0000 0.7592
Cr2 0.7521 0.5000 0.7592
W1 0.2476 0.5000 0.2563
W2 0.4982 0.0000 0.5100
W3 0.7476 0.0000 0.2563
W4 0.9982 0.5000 0.5100
```

***

# 12
Density functional theory data (GGA-PBE) for a relaxed ZrPt2W crystal.

Summary:
energy: -8.74 eV/atom

Cell and atoms, written as CIF:
```
data_ZrPt2W
_space_group_name_H-M_alt 'P 1'
_space_group_IT_number 1
_cell_length_a 5.7193
_cell_length_b 5.7136
_cell_length_c 5.0495
_cell_angle_alpha 90.00
_cell_angle_beta 124.38
_cell_angle_gamma 90.00
loop_
_space_group_symop_operation_xyz
'x,y,z'
loop_
_atom_site_label
_atom_site_fract_x
_atom_site_fract_y
_atom_site_fract_z
Zr1 0.0000 0.0000 0.0000
Zr2 0.5000 0.5000 0.0000
Pt1 0.0000 0.4997 0.0000
Pt2 0.0000 0.7499 0.5000
Pt3 0.5000 0.9997 0.0000
Pt4 0.5000 0.2499 0.5000
W1 0.0000 0.2517 0.5000
W2 0.5000 0.7517 0.5000
```

***

# 13
Density functional theory data (GGA-PBE) for a relaxed Tb3CeAl4 crystal.

Summary:
energy: -4.70 eV/atom

Cell and atoms, written as CIF:
```
data_Tb3CeAl4
_space_group_name_H-M_alt 'P 1'
_space_group_IT_number 1
_cell_length_a 3.5945
_cell_length_b 5.1544
_cell_length_c 10.3463
_cell_angle_alpha 90.00
_cell_angle_beta 90.00
_cell_angle_gamma 90.00
loop_
_space_group_symop_operation_xyz
'x,y,z'
loop_
_atom_site_label
_atom_site_fract_x
_atom_site_fract_y
_atom_site_fract_z
Tb1 0.0000 0.0000 0.0000
Tb2 0.0000 0.5000 0.2491
Tb3 0.0000 0.5000 0.7509
Ce1 0.0000 0.0000 0.5000
Al1 0.5000 0.0000 0.2451
Al2 0.5000 0.0000 0.7549
Al3 0.5000 0.5000 0.0000
Al4 0.5000 0.5000 0.5000
```

***

# 14
Density functional theory data (GGA-PBE) for a relaxed CdTe2 crystal.

Summary:
formation energy (no corrections): 0.084 eV/atom
energy: -2.32 eV/atom

Cell and atoms, written as CIF:
```
data_CdTe2
_space_group_name_H-M_alt 'P 1'
_space_group_IT_number 1
_cell_length_a 4.0807
_cell_length_b 4.0807
_cell_length_c 10.5737
_cell_angle_alpha 90.00
_cell_angle_beta 90.00
_cell_angle_gamma 90.00
loop_
_space_group_symop_operation_xyz
'x,y,z'
loop_
_atom_site_label
_atom_site_fract_x
_atom_site_fract_y
_atom_site_fract_z
Cd1 0.0000 0.0000 0.0000
Cd2 0.5000 0.5000 0.5000
Te1 0.0000 0.0000 0.3631
Te2 0.0000 0.0000 0.6369
Te3 0.5000 0.5000 0.1369
Te4 0.5000 0.5000 0.8631
```

***

# 15
Density functional theory data (GGA-PBE) for a relaxed LaMnTl2Br8 crystal.

Summary:
formation energy (no corrections): -1.130 eV/atom
energy: -3.81 eV/atom

Cell and atoms, written as CIF:
```
data_LaMnTl2Br8
_space_group_name_H-M_alt 'P 1'
_space_group_IT_number 1
_cell_length_a 7.1046
_cell_length_b 7.4028
_cell_length_c 8.5639
_cell_angle_alpha 87.37
_cell_angle_beta 87.03
_cell_angle_gamma 87.43
loop_
_space_group_symop_operation_xyz
'x,y,z'
loop_
_atom_site_label
_atom_site_fract_x
_atom_site_fract_y
_atom_site_fract_z
La1 0.0000 0.0000 0.0000
Mn1 0.0000 0.0000 0.5000
Tl1 0.4965 0.4928 0.7300
Tl2 0.5035 0.5072 0.2700
Br1 0.1743 0.7128 0.5062
Br2 0.2148 0.1149 0.2761
Br3 0.2363 0.6654 0.0046
Br4 0.2381 0.1346 0.7321
Br5 0.7619 0.8654 0.2679
Br6 0.7637 0.3346 0.9954
Br7 0.7852 0.8851 0.7239
Br8 0.8257 0.2872 0.4938
```

***

# 16
Density functional theory data (GGA-PBE) for a relaxed ScSb2TeCl crystal.

Summary:
formation energy (no corrections): -0.046 eV/atom
energy relative to the lowest polymorph listed for this composition: 0.0 meV/atom
energy: -3.96 eV/atom

Cell and atoms, written as CIF:
```
data_ScSb2TeCl
_space_group_name_H-M_alt 'P 1'
_space_group_IT_number 1
_cell_length_a 5.5077
_cell_length_b 5.5077
_cell_length_c 5.3616
_cell_angle_alpha 90.00
_cell_angle_beta 90.00
_cell_angle_gamma 90.00
loop_
_space_group_symop_operation_xyz
'x,y,z'
loop_
_atom_site_label
_atom_site_fract_x
_atom_site_fract_y
_atom_site_fract_z
Sc1 0.0000 0.0000 0.0000
Sb1 0.0000 0.5000 0.0000
Sb2 0.5000 0.0000 0.0000
Te1 0.0000 0.0000 0.5000
Cl1 0.5000 0.5000 0.5000
```

***

# 17
Density functional theory data (GGA-PBE) for a relaxed CeNdTh crystal.

Summary:
energy relative to the lowest polymorph listed for this composition: 20.0 meV/atom
energy: -5.97 eV/atom

Cell and atoms, written as CIF:
```
data_CeNdTh
_space_group_name_H-M_alt 'P 1'
_space_group_IT_number 1
_cell_length_a 3.5521
_cell_length_b 3.5521
_cell_length_c 8.7190
_cell_angle_alpha 90.00
_cell_angle_beta 90.00
_cell_angle_gamma 120.00
loop_
_space_group_symop_operation_xyz
'x,y,z'
loop_
_atom_site_label
_atom_site_fract_x
_atom_site_fract_y
_atom_site_fract_z
Ce1 0.0000 0.0000 0.0000
Nd1 0.3333 0.6667 0.6551
Th1 0.6667 0.3333 0.3151
```

***

# 18
Density functional theory data (GGA-PBE) for a relaxed Ac2La2Pm4Pr crystal.

Summary:
energy: -4.63 eV/atom

Cell and atoms, written as CIF:
```
data_Ac2La2Pm4Pr
_space_group_name_H-M_alt 'P 1'
_space_group_IT_number 1
_cell_length_a 9.9862
_cell_length_b 9.9862
_cell_length_c 10.0841
_cell_angle_alpha 115.30
_cell_angle_beta 115.30
_cell_angle_gamma 21.96
loop_
_space_group_symop_operation_xyz
'x,y,z'
loop_
_atom_site_label
_atom_site_fract_x
_atom_site_fract_y
_atom_site_fract_z
Ac1 0.1460 0.1460 0.1634
Ac2 0.8540 0.8540 0.8366
La1 0.3342 0.3342 0.4962
La2 0.6658 0.6658 0.5038
Pm1 0.1840 0.1840 0.8334
Pm2 0.4812 0.4812 0.1765
Pm3 0.5188 0.5188 0.8235
Pm4 0.8160 0.8160 0.1666
Pr1 0.0000 0.0000 0.5000
```

***

# 19
Density functional theory data (GGA-PBE) for a relaxed Pr6Ru2NCl3 crystal.

Summary:
formation energy (no corrections): -1.047 eV/atom
energy: -6.14 eV/atom

Cell and atoms, written as CIF:
```
data_Pr6Ru2NCl3
_space_group_name_H-M_alt 'P 1'
_space_group_IT_number 1
_cell_length_a 6.9215
_cell_length_b 6.9215
_cell_length_c 7.8682
_cell_angle_alpha 98.47
_cell_angle_beta 98.47
_cell_angle_gamma 119.93
loop_
_space_group_symop_operation_xyz
'x,y,z'
loop_
_atom_site_label
_atom_site_fract_x
_atom_site_fract_y
_atom_site_fract_z
Pr1 0.0637 0.3743 0.1966
Pr2 0.2505 0.2505 0.8038
Pr3 0.3743 0.0637 0.1966
Pr4 0.6257 0.9363 0.8034
Pr5 0.7495 0.7495 0.1962
Pr6 0.9363 0.6257 0.8034
Ru1 0.3319 0.6681 0.0000
Ru2 0.6681 0.3319 0.0000
N1 0.0000 0.0000 0.0000
Cl1 0.1651 0.8349 0.5000
Cl2 0.5000 0.5000 0.5000
Cl3 0.8349 0.1651 0.5000
```

***

# 20
Density functional theory data (GGA-PBE) for a relaxed Nd2NpUN4 crystal.

Summary:
formation energy (no corrections): -1.334 eV/atom
energy: -9.72 eV/atom

Cell and atoms, written as CIF:
```
data_Nd2NpUN4
_space_group_name_H-M_alt 'P 1'
_space_group_IT_number 1
_cell_length_a 6.0822
_cell_length_b 3.5201
_cell_length_c 6.1768
_cell_angle_alpha 90.00
_cell_angle_beta 109.37
_cell_angle_gamma 90.00
loop_
_space_group_symop_operation_xyz
'x,y,z'
loop_
_atom_site_label
_atom_site_fract_x
_atom_site_fract_y
_atom_site_fract_z
Nd1 0.0000 0.0000 0.0000
Nd2 0.5000 0.5000 0.0000
Np1 0.0000 0.5000 0.5000
U1 0.5000 0.0000 0.5000
N1 0.2447 0.0000 0.7124
N2 0.2711 0.5000 0.2890
N3 0.7289 0.5000 0.7110
N4 0.7553 0.0000 0.2876
```